4
Lattice="3.302 0.000 0.000 0.000 3.302 0.000 0.000 0.000 7.828" Properties=species:S:1:pos:R:3 comment="CeNpTi2 PBE relaxed" volume_a3_per_atom=21.33 dos_at_fermi_per_ev_fu=11.01 formation_energy_ev_per_atom=0.361 pbc="T T T"
Ce 0.000 0.000 0.000
Np 0.000 0.000 3.914
Ti 1.651 1.651 2.319
Ti 1.651 1.651 5.509

=====

16
Lattice="6.577 0.000 0.000 0.000 6.577 0.000 0.000 0.000 6.577" Properties=species:S:1:pos:R:3 comment="TaAg2Cl PBE relaxed" volume_a3_per_atom=17.78 dos_at_fermi_per_ev_fu=2.96 formation_energy_uncorrected_ev_per_fu=2.6 relative_energy_ev_per_atom=0.621 pbc="T T T"
Ta 0.000 0.000 0.000
Ta 0.000 3.288 3.288
Ta 3.288 0.000 3.288
Ta 3.288 3.288 0.000
Ag 0.000 0.000 3.288
Ag 0.000 3.288 0.000
Ag 1.644 1.644 1.644
Ag 1.644 4.933 4.933
Ag 3.288 0.000 0.000
Ag 3.288 3.288 3.288
Ag 4.933 1.644 4.933
Ag 4.933 4.933 1.644
Cl 1.644 1.644 4.933
Cl 1.644 4.933 1.644
Cl 4.933 1.644 1.644
Cl 4.933 4.933 4.933

=====

12
Lattice="-1.917 3.855 5.750 1.917 -3.855 5.750 1.917 3.855 -5.750" Properties=species:S:1:pos:R:3 comment="FeIr5Rh6 PBE relaxed" volume_a3_per_atom=14.17 dos_at_fermi_per_ev_fu=13.59 formation_energy_ev_per_atom=-0.017 pbc="T T T"
Fe 0.000 0.000 0.000
Ir 1.917 0.000 1.891
Ir 0.000 0.000 3.822
Ir 0.000 3.855 0.000
Ir 0.000 0.000 7.677
Ir 0.000 3.855 3.859
Rh 1.917 -1.939 3.845
Rh 1.917 1.916 0.000
Rh 0.000 1.916 1.904
Rh 1.917 1.939 3.845
Rh 0.000 1.939 5.750
Rh 0.000 5.794 1.904